P:
Compound: Re2BS
Source: the Alexandria database
Functional: PBE
Structure: optimized geometry

Results
**SG**: I-42d (122)
**Size of the total moment**: 0.0 μB/cell

```
Re2BS
1.0
5.162 0.000 0.000
0.000 5.162 0.000
2.581 2.581 4.681
Re S B
4 2 2
direct
0.595 0.125 0.250
0.155 0.625 0.250
0.875 0.845 0.750
0.375 0.405 0.750
0.000 0.000 0.000
0.750 0.250 0.500
0.500 0.500 0.000
0.250 0.750 0.500
```

Q:
Compound: Re2BS
Source: the Alexandria database
Functional: PBE
Structure: optimized geometry

Results
**SG**: Fm-3m (225)
**Size of the total moment**: 0.0 μB/cell

```
Re2BS
1.0
-1.436 -3.615 1.128
-0.055 -1.024 3.917
-3.525 -0.251 1.977
Re B S
2 1 1
direct
0.750 0.750 0.750
0.250 0.250 0.250
0.000 0.000 0.000
0.500 0.500 0.500
```

Winner for stability: Q

P:
Compound: ReBS3
Source: the Alexandria database
Functional: PBE
Structure: optimized geometry

Results
**SG**: Pm-3m (221)
**Size of the total moment**: 0.0 μB/cell

```
ReBS3
1.0
-2.057 -4.149 0.125
4.115 -2.020 0.671
-0.546 0.409 4.583
S B Re
3 1 1
direct
0.000 0.000 0.500
0.500 0.000 0.000
0.000 0.500 0.000
0.500 0.500 0.500
0.000 0.000 0.000
```

Q:
Compound: ReBS3
Source: the Alexandria database
Functional: PBE
Structure: optimized geometry

Results
**SG**: Pm-3m (221)
**Size of the total moment**: 0.0 μB/cell

```
ReBS3
1.0
-3.494 -0.397 1.977
1.448 -3.246 1.907
1.403 2.361 2.954
S B Re
3 1 1
direct
0.000 0.500 0.000
0.000 0.000 0.500
0.500 0.000 0.000
0.000 0.000 0.000
0.500 0.500 0.500
```

Winner for stability: Q